[1]
This record from the Alexandria database describes crystalline Ca3Mg4Zn4 at its relaxed geometry. The functional is PBE.

POSCAR file:
```
Ca3Mg4Zn4
1.0
-2.193 3.986 7.564
2.193 -3.986 7.564
2.193 3.986 -7.564
Ca Mg Zn
3 4 4
direct
0.000 0.000 0.000
0.378 0.878 0.500
0.622 0.122 0.500
0.018 0.327 0.691
0.364 0.673 0.691
0.636 0.327 0.309
0.982 0.673 0.309
0.225 0.225 0.000
0.325 0.500 0.825
0.675 0.500 0.175
0.775 0.775 0.000
```

Results
Its crystal system is orthorhombic. The density of states at the Fermi level is 7.4 states/eV/cell. As for the calculated formation energy: -173 meV per atom. The value obtained for the raw total energy is -19.381 eV/cell. As for the symmetry: Immm, No. 71.

---

[2]
This record from the Alexandria database describes crystalline ScV2Re at its relaxed geometry. The functional is PBE.

POSCAR file:
```
ScV2Re
1.0
6.263 0.000 0.000
0.000 6.263 0.000
0.000 0.000 6.263
Sc V Re
4 8 4
direct
0.000 0.000 0.000
0.000 0.500 0.500
0.500 0.000 0.500
0.500 0.500 0.000
0.250 0.250 0.250
0.250 0.250 0.750
0.250 0.750 0.250
0.250 0.750 0.750
0.750 0.250 0.250
0.750 0.250 0.750
0.750 0.750 0.250
0.750 0.750 0.750
0.000 0.000 0.500
0.000 0.500 0.000
0.500 0.000 0.000
0.500 0.500 0.500
```

Results
Its crystal system is cubic. The energy above the most stable polymorph in this dataset comes out at 7 meV per atom. The density of states at the Fermi level is 23.6 states/eV/cell. As for the calculated formation energy: 6 meV per atom. The value obtained for the raw total energy is -147.970 eV/cell. As for the symmetry: Fm-3m, No. 225.

---

[3]
This record from the Alexandria database describes crystalline Er3Zn4Cu2 at its relaxed geometry. The functional is PBE.

POSCAR file:
```
Er3Zn4Cu2
1.0
4.554 -2.305 0.000
4.554 2.305 0.000
-1.399 0.000 8.153
Er Zn Cu
3 4 2
direct
0.000 0.000 0.000
0.381 0.381 0.289
0.619 0.619 0.711
0.080 0.080 0.386
0.302 0.302 0.921
0.698 0.698 0.079
0.920 0.920 0.614
0.293 0.293 0.619
0.707 0.707 0.381
```

Results
Its crystal system is monoclinic. The energy above the most stable polymorph in this dataset comes out at 34 meV per atom. The density of states at the Fermi level is 5.9 states/eV/cell. As for the calculated formation energy: -301 meV per atom. The value obtained for the raw total energy is -29.683 eV/cell. As for the symmetry: C2/m, No. 12.

---

[4]
This record from the Alexandria database describes crystalline Sb3P3Au2 at its relaxed geometry. The functional is PBE.

POSCAR file:
```
Sb3P3Au2
1.0
3.926 0.000 0.000
-1.963 3.400 0.000
0.000 0.000 25.889
Sb P Au
6 6 4
direct
0.000 0.000 0.000
0.000 0.000 0.500
0.333 0.667 0.129
0.333 0.667 0.371
0.667 0.333 0.629
0.667 0.333 0.871
0.333 0.667 0.563
0.333 0.667 0.750
0.333 0.667 0.937
0.667 0.333 0.063
0.667 0.333 0.250
0.667 0.333 0.437
0.000 0.000 0.195
0.000 0.000 0.305
0.000 0.000 0.695
0.000 0.000 0.805
```

Results
Its crystal system is hexagonal. The density of states at the Fermi level is 9.5 states/eV/cell. As for the formation energy from raw total energies: 0.1391 eV per atom. The value obtained for the raw total energy is -68.078 eV/cell. As for the symmetry: P6_3/mmc, No. 194.

---

[5]
This record from the Alexandria database describes crystalline BaNiTe at its relaxed geometry. The functional is PBE.

POSCAR file:
```
BaNiTe
1.0
4.585 0.000 0.000
0.000 4.374 0.000
-0.779 0.000 9.003
Ba Ni Te
2 2 2
direct
0.000 0.000 0.000
0.098 0.000 0.444
0.246 0.500 0.766
0.485 0.000 0.732
0.535 0.500 0.220
0.736 0.500 0.686
```

Results
Its crystal system is monoclinic. The density of states at the Fermi level is 1.4 states/eV/cell. As for the formation energy from raw total energies: -0.7690 eV per atom. The value obtained for the raw total energy is -26.305 eV/cell. As for the symmetry: Pm, No. 6.

---

[6]
This record from the Alexandria database describes crystalline In3CuAs at its relaxed geometry. The functional is PBE.

POSCAR file:
```
In3CuAs
1.0
5.039 0.000 0.000
0.000 5.039 0.000
0.000 0.000 5.039
In Cu As
3 1 1
direct
0.000 0.000 0.500
0.000 0.500 0.000
0.500 0.000 0.000
0.000 0.000 0.000
0.500 0.500 0.500
```

Results
Its crystal system is cubic. The energy above the most stable polymorph in this dataset comes out at 0 meV per atom. The density of states at the Fermi level is 4.0 states/eV/cell. As for the calculated formation energy: 263 meV per atom. The value obtained for the raw total energy is -15.644 eV/cell. As for the symmetry: Pm-3m, No. 221.

---

[7]
This record from the Alexandria database describes crystalline NaLi2OsO6 at its relaxed geometry. The functional is PBE.

POSCAR file:
```
NaLi2OsO6
1.0
4.922 -2.812 0.000
4.922 2.812 0.000
-2.735 0.000 4.420
Na Li Os O
1 2 1 6
direct
0.000 0.000 0.000
0.253 0.253 0.836
0.747 0.747 0.164
0.500 0.500 0.500
0.168 0.637 0.201
0.326 0.326 0.546
0.363 0.832 0.799
0.637 0.168 0.201
0.674 0.674 0.454
0.832 0.363 0.799
```

Results
Its crystal system is monoclinic. The density of states at the Fermi level is 5.6 states/eV/cell. As for the formation energy from raw total energies: -1.2327 eV per atom. The value obtained for the raw total energy is -58.453 eV/cell. As for the symmetry: C2/m, No. 12.

---

[8]
This record from the Alexandria database describes crystalline RbBa2Si at its relaxed geometry. The functional is PBE.

POSCAR file:
```
RbBa2Si
1.0
10.441 0.000 0.000
0.000 10.441 0.000
0.000 0.000 8.049
Rb Ba Si
4 8 4
direct
0.000 0.000 0.000
0.000 0.500 0.250
0.500 0.000 0.750
0.500 0.500 0.500
0.152 0.250 0.625
0.250 0.652 0.875
0.250 0.848 0.375
0.348 0.250 0.125
0.652 0.750 0.125
0.750 0.152 0.375
0.750 0.348 0.875
0.848 0.750 0.625
0.000 0.000 0.500
0.000 0.500 0.750
0.500 0.000 0.250
0.500 0.500 0.000
```

Results
Its crystal system is tetragonal. The density of states at the Fermi level is 9.4 states/eV/cell. As for the formation energy from raw total energies: 0.0995 eV per atom. The value obtained for the raw total energy is -39.353 eV/cell. As for the symmetry: I-42d, No. 122.

---

[9]
This record from the Alexandria database describes crystalline NdNp2F8 at its relaxed geometry. The functional is PBE.

POSCAR file:
```
NdNp2F8
1.0
-1.952 3.371 5.635
1.952 -3.371 5.635
1.952 3.371 -5.635
Nd Np F
1 2 8
direct
0.000 0.000 0.000
0.319 0.319 0.000
0.681 0.681 0.000
0.113 0.841 0.271
0.139 0.639 0.500
0.306 0.500 0.806
0.430 0.159 0.271
0.570 0.841 0.729
0.694 0.500 0.194
0.861 0.361 0.500
0.887 0.159 0.729
```

Results
Its crystal system is orthorhombic. The density of states at the Fermi level is 10.0 states/eV/cell. As for the formation energy from raw total energies: -3.4109 eV per atom. The value obtained for the raw total energy is -83.140 eV/cell. As for the symmetry: Immm, No. 71.

---

[10]
This record from the Alexandria database describes crystalline Ca3Mg9Rh2 at its relaxed geometry. The functional is PBE.

POSCAR file:
```
Ca3Mg9Rh2
1.0
-2.377 5.634 6.229
2.377 -5.634 6.229
2.377 5.634 -6.229
Ca Mg Rh
3 9 2
direct
0.000 0.000 0.000
0.307 0.307 0.000
0.693 0.693 0.000
0.010 0.369 0.642
0.163 0.878 0.286
0.273 0.631 0.642
0.408 0.122 0.286
0.500 0.000 0.500
0.592 0.878 0.714
0.727 0.369 0.358
0.837 0.122 0.714
0.990 0.631 0.358
0.340 0.500 0.840
0.660 0.500 0.160
```

Results
Its crystal system is orthorhombic. The density of states at the Fermi level is 6.7 states/eV/cell. As for the calculated formation energy: -174 meV per atom. The value obtained for the raw total energy is -37.490 eV/cell. As for the symmetry: Immm, No. 71.

---

[11]
This record from the Alexandria database describes crystalline Tb8Mg2Sc at its relaxed geometry. The functional is PBE.

POSCAR file:
```
Tb8Mg2Sc
1.0
4.340 -7.728 0.000
4.340 7.728 0.000
-2.459 0.000 5.035
Tb Mg Sc
8 2 1
direct
0.099 0.320 0.630
0.207 0.793 0.000
0.320 0.099 0.630
0.398 0.398 0.202
0.602 0.602 0.798
0.680 0.901 0.370
0.793 0.207 0.000
0.901 0.680 0.370
0.305 0.695 0.500
0.695 0.305 0.500
0.000 0.000 0.000
```

Results
Its crystal system is monoclinic. The energy above the most stable polymorph in this dataset comes out at 125 meV per atom. The density of states at the Fermi level is 14.2 states/eV/cell. As for the calculated formation energy: 138 meV per atom. The value obtained for the raw total energy is -45.048 eV/cell. As for the symmetry: C2/m, No. 12.